LaMnO2 after structural relaxation, computed with GGA+U.

Cell and atoms, written as POSCAR:
```
LaMnO2
1.0
4.563 0.000 0.000
0.000 4.563 0.000
2.281 2.281 5.902
O Mn La
4 2 2
direct
0.199 0.625 0.250
0.875 0.801 0.750
0.551 0.125 0.250
0.375 0.449 0.750
0.250 0.750 0.500
0.500 0.500 0.000
0.000 0.000 0.000
0.750 0.250 0.500
```

Results
density of states at the Fermi level	0.42	states/eV per atom
uncorrected energy	-6.790	eV/atom